Density functional theory data (PBE-GGA) for crystalline PmPaSi2Ir5 at its relaxed geometry.

Properties
**ΔE_f (raw)**: -63.03 kJ/mol of atoms
**Crystal system**: tetragonal
**Mass density**: 12740 kg/m3

Unit cell a=4.031 b=4.031 c=11.178 alpha=90.00 beta=90.00 gamma=90.00
Positions (direct):
Ir 0.500 0.000 0.822
Pm 0.000 0.000 0.500
Si 0.500 0.500 0.291
Ir 0.000 0.500 0.178
Ir 0.000 0.500 0.822
Ir 0.500 0.500 0.500
Pa 0.000 0.000 0.000
Ir 0.500 0.000 0.178
Si 0.500 0.500 0.709

Density functional theory data (PBE-GGA) for crystalline PmSmPa2Ir4 at its relaxed geometry.

Properties
**Crystal system**: orthorhombic
**Formation energy**: -0.671 eV per atom
**Mass density**: 13909 kg/m3

Unit cell a=5.725 b=5.725 c=7.027 alpha=116.77 beta=116.77 gamma=83.94
Positions (direct):
Pm 0.501 0.501 0.000
Sm 0.915 0.915 0.000
Ir 0.174 0.174 0.514
Pa 0.670 0.170 0.500
Pa 0.170 0.670 0.500
Ir 0.397 0.010 0.000
Ir 0.660 0.660 0.486
Ir 0.010 0.397 0.000

Density functional theory data (PBE-GGA) for crystalline TbPmPa2Ir4 at its relaxed geometry.

Properties
**Crystal system**: orthorhombic
**Formation energy**: -0.712 eV per atom
**Mass density**: 14199 kg/m3

Unit cell a=5.709 b=5.709 c=6.958 alpha=116.64 beta=116.64 gamma=84.66
Positions (direct):
Ir 0.734 0.734 0.531
Ir 0.968 0.355 0.000
Pa 0.214 0.714 0.500
Ir 0.355 0.968 0.000
Tb 0.860 0.860 0.000
Pm 0.450 0.450 0.000
Pa 0.714 0.214 0.500
Ir 0.203 0.203 0.469

Density functional theory data (PBE-GGA) for crystalline PmPaTcIr at its relaxed geometry.

Properties
**Crystal system**: cubic
**Formation energy**: -0.287 eV per atom
**Mass density**: 13132 kg/m3

Unit cell a=4.921 b=4.921 c=4.921 alpha=60.00 beta=60.00 gamma=60.00
Positions (direct):
Pm 0.000 0.000 0.000
Pa 0.500 0.500 0.500
Ir 0.250 0.250 0.250
Tc 0.750 0.750 0.750

Density functional theory data (PBE-GGA) for crystalline Pm2ZrPaIr2 at its relaxed geometry.

Properties
**Crystal system**: orthorhombic
**Formation energy**: -0.567 eV per atom
**Mass density**: 10597 kg/m3

Unit cell a=6.808 b=6.898 c=8.229 alpha=114.78 beta=114.44 gamma=90.00
Positions (direct):
Pm 0.556 0.812 0.625
Pa 0.000 0.750 0.000
Zr 0.500 0.750 0.000
Pm 0.931 0.688 0.375
Ir 0.343 0.594 0.188
Pm 0.444 0.188 0.375
Ir 0.845 0.094 0.188
Pa 0.000 0.250 0.000
Zr 0.500 0.250 0.000
Pm 0.069 0.312 0.625
Ir 0.657 0.406 0.812
Ir 0.155 0.906 0.812

Density functional theory data (PBE-GGA) for crystalline PrPaIr2 at its relaxed geometry.

Properties
**Crystal system**: trigonal
**Energy above the most stable polymorph in this dataset**: 77 meV/atom
**Formation energy**: -0.743 eV per atom
**Mass density**: 13071 kg/m3

Unit cell a=4.008 b=4.008 c=7.283 alpha=74.03 beta=74.03 gamma=60.00
Positions (direct):
Ir 0.741 0.741 0.777
Ir 0.259 0.259 0.223
Pa 0.000 0.000 0.000
Pr 0.500 0.500 0.500

Density functional theory data (PBE-GGA) for crystalline PrPa3Ir2 at its relaxed geometry.

Properties
**Crystal system**: monoclinic
**Formation energy**: -0.419 eV per atom
**Mass density**: 14532 kg/m3

Unit cell a=4.729 b=9.024 c=7.696 alpha=117.46 beta=90.00 gamma=105.19
Positions (direct):
Pa 0.694 0.388 0.434
Pa 0.062 0.124 0.423
Ir 0.237 0.474 0.831
Ir 0.484 0.967 0.808
Pr 0.123 0.247 0.052
Pa 0.306 0.612 0.566
Ir 0.516 0.033 0.192
Pr 0.877 0.753 0.948
Pa 0.380 0.759 0.295
Pa 0.938 0.876 0.577
Pa 0.620 0.241 0.705
Ir 0.763 0.526 0.169

Density functional theory data (PBE-GGA) for crystalline Pr3Pa2Ir4 at its relaxed geometry.

Properties
**Crystal system**: monoclinic
**Formation energy**: -0.682 eV per atom
**Mass density**: 12178 kg/m3

Unit cell a=3.963 b=6.324 c=9.593 alpha=98.61 beta=90.00 gamma=108.26
Positions (direct):
Ir 0.690 0.380 0.080
Ir 0.078 0.155 0.625
Pr 0.000 0.000 0.000
Ir 0.310 0.620 0.920
Ir 0.922 0.845 0.375
Pr 0.377 0.753 0.616
Pa 0.683 0.367 0.782
Pa 0.317 0.633 0.218
Pr 0.623 0.247 0.384

Density functional theory data (PBE-GGA) for crystalline Pr3PaIr3 at its relaxed geometry.

Properties
**Crystal system**: monoclinic
**Formation energy**: -0.573 eV per atom
**Mass density**: 10585 kg/m3

Unit cell a=5.878 b=11.469 c=11.484 alpha=85.67 beta=90.00 gamma=90.00
Positions (direct):
Pa 0.500 0.365 0.606
Pr 0.000 0.387 0.877
Ir 0.000 0.142 0.334
Pa 0.000 0.890 0.889
Pr 0.000 0.613 0.123
Pr 0.500 0.133 0.363
Ir 0.500 0.139 0.614
Ir 0.500 0.861 0.386
Ir 0.500 0.591 0.632
Pr 0.000 0.389 0.378
Ir 0.500 0.409 0.368
Ir 0.000 0.667 0.866
Ir 0.000 0.879 0.122
Pr 0.000 0.115 0.611
Pr 0.500 0.859 0.136
Ir 0.500 0.601 0.169
Pr 0.000 0.611 0.622
Ir 0.000 0.121 0.878
Pr 0.500 0.141 0.864
Pr 0.500 0.867 0.637
Pa 0.000 0.110 0.111
Pa 0.500 0.635 0.394
Pr 0.500 0.358 0.102
Ir 0.500 0.399 0.831
Pr 0.500 0.642 0.898
Ir 0.000 0.333 0.134
Ir 0.000 0.858 0.666
Pr 0.000 0.885 0.389

Density functional theory data (PBE-GGA) for crystalline PrPa2Ir2 at its relaxed geometry.

Properties
**Crystal system**: tetragonal
**Formation energy**: -0.545 eV per atom
**Mass density**: 13115 kg/m3

Unit cell a=5.084 b=5.084 c=6.027 alpha=114.95 beta=114.95 gamma=90.00
Positions (direct):
Pa 0.250 0.750 0.500
Pa 0.750 0.250 0.500
Ir 0.361 0.361 0.721
Ir 0.639 0.639 0.279
Pr 0.000 0.000 0.000

Density functional theory data (PBE-GGA) for crystalline PrPaIr2 at its relaxed geometry.

Properties
**Crystal system**: tetragonal
**Energy above the most stable polymorph in this dataset**: 126 meV/atom
**Formation energy**: -0.694 eV per atom
**Mass density**: 14110 kg/m3

Unit cell a=3.509 b=3.509 c=7.229 alpha=90.00 beta=90.00 gamma=90.00
Positions (direct):
Pa 0.500 0.500 0.000
Pr 0.500 0.500 0.500
Ir 0.000 0.000 0.206
Ir 0.000 0.000 0.794

Density functional theory data (PBE-GGA) for crystalline PrPaIr2 at its relaxed geometry.

Properties
**Crystal system**: orthorhombic
**Energy above the most stable polymorph in this dataset**: 0 meV/atom
**Formation energy**: -0.820 eV per atom
**Mass density**: 13042 kg/m3

Unit cell a=4.346 b=5.763 c=7.690 alpha=90.00 beta=90.00 gamma=90.00
Positions (direct):
Pa 0.250 0.750 0.919
Pr 0.250 0.250 0.581
Ir 0.250 0.003 0.226
Ir 0.250 0.497 0.226
Pa 0.750 0.250 0.081
Ir 0.750 0.503 0.774
Pr 0.750 0.750 0.419
Ir 0.750 0.997 0.774

Density functional theory data (PBE-GGA) for crystalline Pr2PaIr at its relaxed geometry.

Properties
**Crystal system**: trigonal
**Formation energy**: 0.299 eV per atom
**Mass density**: 10229 kg/m3

Unit cell a=3.497 b=3.497 c=10.993 alpha=80.85 beta=80.85 gamma=60.00
Positions (direct):
Pr 0.896 0.896 0.311
Pa 0.000 0.000 0.000
Pr 0.104 0.104 0.689
Ir 0.500 0.500 0.500

Density functional theory data (PBE-GGA) for crystalline PrPa2Ir9 at its relaxed geometry.

Properties
**Crystal system**: trigonal
**Formation energy**: -0.588 eV per atom
**Mass density**: 17874 kg/m3

Unit cell a=5.335 b=5.335 c=9.316 alpha=73.36 beta=73.36 gamma=60.00
Positions (direct):
Ir 0.585 0.080 0.749
Pr 0.000 0.000 0.000
Pa 0.862 0.862 0.413
Ir 0.500 0.500 0.500
Pa 0.138 0.138 0.587
Ir 0.415 0.920 0.251
Ir 0.920 0.415 0.251
Ir 0.415 0.415 0.251
Ir 0.667 0.667 0.000
Ir 0.585 0.585 0.749
Ir 0.333 0.333 0.000
Ir 0.080 0.585 0.749

Density functional theory data (PBE-GGA) for crystalline PrPaIr2 at its relaxed geometry.

Properties
**Crystal system**: trigonal
**Energy above the most stable polymorph in this dataset**: 139 meV/atom
**Formation energy**: -0.682 eV per atom
**Mass density**: 13006 kg/m3

Unit cell a=3.931 b=3.931 c=7.564 alpha=74.94 beta=74.94 gamma=60.00
Positions (direct):
Ir 0.075 0.075 0.776
Pr 0.497 0.497 0.508
Pa 0.669 0.669 0.994
Ir 0.260 0.260 0.221

Density functional theory data (PBE-GGA) for crystalline PrPa2Ir at its relaxed geometry.

Properties
**Crystal system**: trigonal
**Formation energy**: 0.057 eV per atom
**Mass density**: 11672 kg/m3

Unit cell a=3.590 b=3.590 c=10.347 alpha=80.01 beta=80.01 gamma=60.00
Positions (direct):
Pa 0.894 0.894 0.318
Pr 0.000 0.000 0.000
Pa 0.106 0.106 0.682
Ir 0.500 0.500 0.500

Density functional theory data (PBE-GGA) for crystalline Pr2PaIr3 at its relaxed geometry.

Properties
**Crystal system**: monoclinic
**Formation energy**: -0.598 eV per atom
**Mass density**: 12298 kg/m3

Unit cell a=5.841 b=7.974 c=7.239 alpha=105.97 beta=113.80 gamma=90.00
Positions (direct):
Ir 0.855 0.925 0.704
Pr 0.671 0.584 0.335
Ir 0.145 0.075 0.296
Pr 0.329 0.416 0.665
Ir 0.152 0.575 0.296
Pa 0.996 0.750 0.000
Ir 0.502 0.250 0.000
Ir 0.498 0.750 0.000
Pr 0.664 0.084 0.335
Pa 0.004 0.250 0.000
Pr 0.336 0.916 0.665
Ir 0.848 0.425 0.704

Density functional theory data (PBE-GGA) for crystalline PrPaIrPt at its relaxed geometry.

Properties
**Crystal system**: orthorhombic
**Formation energy**: -0.926 eV per atom
**Mass density**: 13268 kg/m3

Unit cell a=3.803 b=4.145 c=6.320 alpha=90.00 beta=107.51 gamma=90.00
Positions (direct):
Pr 0.150 0.000 0.300
Pt 0.571 0.500 0.143
Pa 0.880 0.500 0.760
Ir 0.399 0.000 0.798

Density functional theory data (PBE-GGA) for crystalline PrPaIrRh at its relaxed geometry.

Properties
**Crystal system**: orthorhombic
**Formation energy**: -0.757 eV per atom
**Mass density**: 12080 kg/m3

Unit cell a=3.790 b=4.122 c=6.168 alpha=90.00 beta=107.89 gamma=90.00
Positions (direct):
Rh 0.574 0.500 0.149
Pa 0.879 0.500 0.758
Pr 0.145 0.000 0.290
Ir 0.401 0.000 0.803

Density functional theory data (PBE-GGA) for crystalline PrPaIrSe at its relaxed geometry.

Properties
**ΔE_f (raw)**: -105.31 kJ/mol of atoms
**Crystal system**: trigonal
**Mass density**: 10228 kg/m3

Unit cell a=4.018 b=4.018 c=7.820 alpha=90.00 beta=104.90 gamma=120.00
Positions (direct):
Ir 0.321 0.558 0.894
Pa 0.114 0.955 0.085
Se 0.959 0.377 0.351
Pr 0.484 0.140 0.639

| no. | total energy (eV per atom) | total magnetization (μB per cell) |
| --- | --- | --- |
| 1 | -8.36 | 0.000 |
| 2 | -8.66 | 0.000 |
| 3 | -8.69 | 0.000 |
| 4 | -8.66 | 0.000 |
| 5 | -8.11 | 0.000 |
| 6 | -8.74 | 0.000 |
| 7 | -8.92 | 0.000 |
| 8 | -8.32 | 0.000 |
| 9 | -7.78 | 0.000 |
| 10 | -8.84 | 0.000 |
| 11 | -8.69 | 0.000 |
| 12 | -8.82 | 0.000 |
| 13 | -6.68 | 0.000 |
| 14 | -9.21 | 0.000 |
| 15 | -8.68 | 0.000 |
| 16 | -8.10 | 0.002 |
| 17 | -8.20 | 0.000 |
| 18 | -8.22 | 0.000 |
| 19 | -8.38 | 0.000 |
| 20 | -7.75 | 0.000 |